Record 1
# Sm3Hf | the Alexandria database | PBE | relaxed
data_Sm3Hf
_cell_length_a 3.3575
_cell_length_b 3.3695
_cell_length_c 11.0656
_cell_angle_alpha 90.00
_cell_angle_beta 90.00
_cell_angle_gamma 90.00
_space_group_name_H-M_alt 'P 1'
_space_group_IT_number 1
loop_
_space_group_symop_operation_xyz
'x,y,z'
loop_
_atom_site_label
_atom_site_fract_x
_atom_site_fract_y
_atom_site_fract_z
_atom_site_occupancy
Hf1 0.0000 0.0000 0.9716 1
Sm1 0.0000 0.5000 0.4695 1
Sm2 0.5000 0.5000 0.1760 1
Sm3 0.5000 0.0000 0.7162 1
# formation energy from the elements	310	meV per atom
# space-group type	Pmm2, No. 25
# relative energy among the computed polymorphs	138	meV/atom
# DFT total energy	-22.87	eV per cell


Record 2
# TlHgCl6 | the Alexandria database | PBE | relaxed
data_TlHgCl6
_cell_length_a 6.6342
_cell_length_b 7.2741
_cell_length_c 7.0840
_cell_angle_alpha 64.80
_cell_angle_beta 61.84
_cell_angle_gamma 55.15
_space_group_name_H-M_alt 'P 1'
_space_group_IT_number 1
loop_
_space_group_symop_operation_xyz
'x,y,z'
loop_
_atom_site_label
_atom_site_fract_x
_atom_site_fract_y
_atom_site_fract_z
_atom_site_occupancy
Tl1 0.5000 0.5000 0.5000 1
Hg1 0.0000 0.0000 0.0000 1
Cl1 0.1138 0.4591 0.7182 1
Cl2 0.7608 0.0786 0.7713 1
Cl3 0.5817 0.2332 0.2510 1
Cl4 0.2392 0.9214 0.2287 1
Cl5 0.8862 0.5409 0.2818 1
Cl6 0.4183 0.7668 0.7490 1
# space-group type	P-1, No. 2
# relative energy among the computed polymorphs	16	meV/atom
# DFT total energy	-16.99	eV per cell


Record 3
# ZnSbTe | the Alexandria database | PBE | relaxed
data_ZnSbTe
_cell_length_a 4.6457
_cell_length_b 4.6457
_cell_length_c 13.1869
_cell_angle_alpha 69.18
_cell_angle_beta 69.18
_cell_angle_gamma 40.74
_space_group_name_H-M_alt 'P 1'
_space_group_IT_number 1
loop_
_space_group_symop_operation_xyz
'x,y,z'
loop_
_atom_site_label
_atom_site_fract_x
_atom_site_fract_y
_atom_site_fract_z
_atom_site_occupancy
Sb1 0.3602 0.3602 0.0457 1
Sb2 0.3929 0.3929 0.2617 1
Zn1 0.6274 0.6274 0.3695 1
Zn2 0.1255 0.1255 0.9376 1
Te1 0.3518 0.3518 0.5382 1
Te2 0.4017 0.4017 0.7693 1
# space-group type	C2/m, No. 12
# relative energy among the computed polymorphs	0	meV/atom
# DFT total energy	-17.05	eV per cell


Record 4
# SrCa4Rh | the Alexandria database | PBE | relaxed
data_SrCa4Rh
_cell_length_a 6.3918
_cell_length_b 8.0013
_cell_length_c 10.1971
_cell_angle_alpha 113.10
_cell_angle_beta 108.24
_cell_angle_gamma 90.00
_space_group_name_H-M_alt 'P 1'
_space_group_IT_number 1
loop_
_space_group_symop_operation_xyz
'x,y,z'
loop_
_atom_site_label
_atom_site_fract_x
_atom_site_fract_y
_atom_site_fract_z
_atom_site_occupancy
Sr1 0.7958 0.7960 0.5921 1
Sr2 0.2042 0.2040 0.4079 1
Ca1 0.1497 0.6500 0.3000 1
Ca2 0.3996 0.1594 0.7987 1
Ca3 0.0000 0.2193 0.0000 1
Ca4 0.6004 0.3607 0.2013 1
Ca5 0.8503 0.3500 0.7000 1
Ca6 0.6004 0.8406 0.2013 1
Ca7 0.0000 0.7807 0.0000 1
Ca8 0.3996 0.6393 0.7987 1
Rh1 0.2694 0.5000 0.9999 1
Rh2 0.7306 0.5000 0.0001 1
# formation energy from the elements	-188	meV per atom
# space-group type	Immm, No. 71
# relative energy among the computed polymorphs	0	meV/atom
# DFT total energy	-36.34	eV per cell


Record 5
# Mg3Bi2H2 | the Alexandria database | PBE | relaxed
data_Mg3Bi2H2
_cell_length_a 3.3576
_cell_length_b 7.2307
_cell_length_c 8.4926
_cell_angle_alpha 97.01
_cell_angle_beta 91.85
_cell_angle_gamma 134.05
_space_group_name_H-M_alt 'P 1'
_space_group_IT_number 1
loop_
_space_group_symop_operation_xyz
'x,y,z'
loop_
_atom_site_label
_atom_site_fract_x
_atom_site_fract_y
_atom_site_fract_z
_atom_site_occupancy
Mg1 0.0000 0.0000 0.0000 1
Mg2 0.9023 0.5920 0.1717 1
Mg3 0.0977 0.4080 0.8283 1
Bi1 0.1996 0.8182 0.6795 1
Bi2 0.8004 0.1818 0.3205 1
H1 0.5184 0.3480 0.9499 1
H2 0.4816 0.6520 0.0501 1
# space-group type	P-1, No. 2
# DFT total energy	-20.09	eV per cell


Record 6
# Ce2TmRu | the Alexandria database | PBE | relaxed
data_Ce2TmRu
_cell_length_a 3.7148
_cell_length_b 5.9316
_cell_length_c 9.6043
_cell_angle_alpha 90.00
_cell_angle_beta 90.00
_cell_angle_gamma 108.23
_space_group_name_H-M_alt 'P 1'
_space_group_IT_number 1
loop_
_space_group_symop_operation_xyz
'x,y,z'
loop_
_atom_site_label
_atom_site_fract_x
_atom_site_fract_y
_atom_site_fract_z
_atom_site_occupancy
Ce1 0.3609 0.7224 0.5597 1
Ce2 0.6391 0.2776 0.4403 1
Ce3 0.3609 0.7224 0.9403 1
Ce4 0.6391 0.2776 0.0597 1
Tm1 0.9189 0.8383 0.2500 1
Tm2 0.0811 0.1617 0.7500 1
Ru1 0.7948 0.5892 0.7500 1
Ru2 0.2052 0.4108 0.2500 1
# formation energy from the elements	-236	meV per atom
# space-group type	Cmcm, No. 63
# relative energy among the computed polymorphs	0	meV/atom
# DFT total energy	-53.11	eV per cell


Record 7
# LiNdSb | the Alexandria database | PBE | relaxed
data_LiNdSb
_cell_length_a 4.2506
_cell_length_b 4.2506
_cell_length_c 5.3687
_cell_angle_alpha 113.32
_cell_angle_beta 113.32
_cell_angle_gamma 90.00
_space_group_name_H-M_alt 'P 1'
_space_group_IT_number 1
loop_
_space_group_symop_operation_xyz
'x,y,z'
loop_
_atom_site_label
_atom_site_fract_x
_atom_site_fract_y
_atom_site_fract_z
_atom_site_occupancy
Sb1 0.2978 0.2978 0.5956 1
Nd1 0.9449 0.9449 0.8899 1
Li1 0.6073 0.6073 0.2145 1
# space-group type	I4mm, No. 107
# relative energy among the computed polymorphs	351	meV/atom
# DFT total energy	-12.41	eV per cell


Record 8
# Mn2NbHPd | the Alexandria database | PBE | relaxed
data_Mn2NbHPd
_cell_length_a 4.0337
_cell_length_b 4.0337
_cell_length_c 3.6993
_cell_angle_alpha 90.00
_cell_angle_beta 90.00
_cell_angle_gamma 90.00
_space_group_name_H-M_alt 'P 1'
_space_group_IT_number 1
loop_
_space_group_symop_operation_xyz
'x,y,z'
loop_
_atom_site_label
_atom_site_fract_x
_atom_site_fract_y
_atom_site_fract_z
_atom_site_occupancy
H1 0.0000 0.0000 0.0000 1
Nb1 0.5000 0.5000 0.5000 1
Mn1 0.0000 0.5000 0.0000 1
Mn2 0.5000 0.0000 0.0000 1
Pd1 0.0000 0.0000 0.5000 1
# space-group type	P4/mmm, No. 123
# relative energy among the computed polymorphs	10	meV/atom
# DFT total energy	-37.15	eV per cell


- Which formula does entry 3 have?
  ZnSbTe